Entry 1:
First-principles (PBE) data for CsTi2PdBr after structural relaxation, as listed in Alexandria.

Cell: 5.771 5.206 5.771 Å, 90.00 90.00 90.00°
Each line ends with the local moment (μB).
Sites, in units of the cell vectors:
1 Ti 0.500 0.000 0.000  2.22
2 Cs 0.000 0.000 0.000  0.22
3 Ti 0.000 0.000 0.500  2.33
4 Pd 0.000 0.500 0.000  0.07
5 Br 0.500 0.500 0.500  0.05

Properties
Energy = -14.415 eV per cell
ΔE_f (raw) = 1819 meV/atom

---

Entry 2:
First-principles (PBE) data for Re3Br8Cl after structural relaxation, as listed in Alexandria.

Cell: 10.261 10.261 10.190 Å, 63.48 63.48 63.62°
Sites, in units of the cell vectors:
1 Br 0.489 0.170 0.988
2 Re 0.873 0.644 0.143
3 Br 0.831 0.514 0.008
4 Re 0.643 0.643 0.373
5 Re 0.356 0.128 0.856
6 Re 0.128 0.356 0.856
7 Br 0.401 0.876 0.377
8 Br 0.879 0.879 0.899
9 Br 0.123 0.123 0.100
10 Br 0.514 0.831 0.008
11 Br 0.709 0.709 0.531
12 Br 0.710 0.028 0.212
13 Br 0.291 0.973 0.787
14 Br 0.170 0.489 0.988
15 Re 0.357 0.357 0.627
16 Br 0.028 0.710 0.212
17 Br 0.973 0.291 0.787
18 Br 0.488 0.488 0.671
19 Br 0.512 0.512 0.329
20 Cl 0.581 0.133 0.630
21 Br 0.876 0.401 0.377
22 Re 0.644 0.873 0.143
23 Br 0.291 0.291 0.469
24 Cl 0.133 0.581 0.630

Properties
Energy = -114.602 eV per cell
ΔE_f (raw) = -394 meV/atom

---

Entry 3:
First-principles (PBE) data for CaOs2W after structural relaxation, as listed in Alexandria.

Cell: 4.256 2.839 6.050 Å, 77.25 90.00 90.00°
Sites, in units of the cell vectors:
1 Os 0.000 0.439 0.454
2 W 0.500 0.250 0.250
3 Ca 0.500 0.750 0.750
4 Os 0.000 0.061 0.046

Properties
Energy = -35.343 eV per cell
Energy of formation from the pure elements = 0.52 eV per atom
Energy relative to the lowest polymorph listed for this composition = 255 meV per atom

---

Entry 4:
First-principles (PBE) data for ErThP after structural relaxation, as listed in Alexandria.

Cell: 3.817 3.818 13.006 Å, 90.00 90.00 119.99°
Sites, in units of the cell vectors:
1 Er 0.611 0.222 0.277
2 P 0.278 0.555 0.851
3 P 0.278 0.555 0.149
4 Th 0.279 0.557 0.500
5 Th 0.611 0.222 0.000
6 Er 0.611 0.222 0.723

Properties
Energy = -39.372 eV per cell
Energy of formation from the pure elements = -0.76 eV per atom
Energy relative to the lowest polymorph listed for this composition = 87 meV per atom

---

Entry 5:
First-principles (PBE) data for Dy3TlRu2 after structural relaxation, as listed in Alexandria.

Cell: 3.438 3.438 11.407 Å, 90.00 90.00 90.00°
Sites, in units of the cell vectors:
1 Tl 0.500 0.500 0.500
2 Ru 0.500 0.500 0.847
3 Ru 0.500 0.500 0.153
4 Dy 0.000 0.000 0.292
5 Dy 0.000 0.000 0.000
6 Dy 0.000 0.000 0.708

Properties
Energy = -37.124 eV per cell
Energy of formation from the pure elements = -0.40 eV per atom

---

Entry 6:
First-principles (PBE) data for YTlMo2 after structural relaxation, as listed in Alexandria.

Cell: 3.674 3.674 6.422 Å, 90.00 90.00 90.00°
Sites, in units of the cell vectors:
1 Mo 0.000 0.000 0.438
2 Mo 0.000 0.000 0.062
3 Tl 0.500 0.500 0.250
4 Y 0.500 0.500 0.750

Properties
Energy = -28.420 eV per cell
Energy of formation from the pure elements = 0.52 eV per atom
Energy relative to the lowest polymorph listed for this composition = 369 meV per atom

---

Entry 7:
First-principles (PBE) data for SrZn5Ni2 after structural relaxation, as listed in Alexandria.

Cell: 4.051 6.377 6.377 Å, 68.53 71.48 71.48°
Sites, in units of the cell vectors:
1 Ni 0.243 0.257 0.257
2 Zn 0.000 0.500 0.500
3 Zn 0.666 0.517 0.151
4 Zn 0.666 0.151 0.517
5 Ni 0.757 0.743 0.743
6 Zn 0.334 0.849 0.483
7 Sr 0.000 0.000 0.000
8 Zn 0.334 0.483 0.849

Properties
Energy = -21.105 eV per cell
Energy of formation from the pure elements = -0.19 eV per atom

---

Entry 8:
First-principles (PBE) data for K2ScRh after structural relaxation, as listed in Alexandria.

Cell: 12.364 12.364 12.364 Å, 15.00 15.00 15.00°
Each line ends with the local moment (μB).
Sites, in units of the cell vectors:
1 Sc 0.750 0.750 0.750  0.17
2 Rh 0.250 0.250 0.250  0.42
3 K 0.986 0.986 0.986  0.00
4 K 0.514 0.514 0.514  0.00

Properties
Energy = -12.703 eV per cell
Energy of formation from the pure elements = 0.79 eV per atom
Energy relative to the lowest polymorph listed for this composition = 832 meV per atom

---

Entry 9:
First-principles (PBE) data for MgMnS2N after structural relaxation, as listed in Alexandria.

Cell: 4.744 4.744 3.495 Å, 90.00 90.00 90.00°
Each line ends with the local moment (μB).
Sites, in units of the cell vectors:
1 S 0.000 0.500 0.000  -0.01
2 Mn 0.000 0.000 0.000  2.08
3 S 0.500 0.000 0.000  -0.01
4 Mg 0.500 0.500 0.500  0.01
5 N 0.000 0.000 0.500  -0.27

Properties
Energy = -28.361 eV per cell
ΔE_f (raw) = -203 meV/atom
Energy relative to the lowest polymorph listed for this composition = 0 meV per atom

---

Entry 10:
First-principles (PBE) data for NiAs2P after structural relaxation, as listed in Alexandria.

Cell: 3.760 3.760 5.985 Å, 74.77 74.77 56.91°
Sites, in units of the cell vectors:
1 As 0.055 0.055 0.011
2 As 0.733 0.733 0.704
3 Ni 0.499 0.499 0.470
4 P 0.213 0.213 0.315

Properties
Energy = -20.439 eV per cell
Energy of formation from the pure elements = 0.01 eV per atom

---

Entry 11:
First-principles (PBE) data for Rb4Sm3DySe8 after structural relaxation, as listed in Alexandria.

Cell: 8.612 9.431 8.613 Å, 117.21 120.00 90.00°
Sites, in units of the cell vectors:
1 Rb 0.500 0.000 0.500
2 Se 0.733 0.700 0.467
3 Rb 0.000 0.000 0.000
4 Se 0.263 0.302 0.032
5 Se 0.267 0.300 0.533
6 Se 0.737 0.698 0.968
7 Se 0.770 0.302 0.032
8 Se 0.770 0.302 0.539
9 Rb 0.000 0.000 0.500
10 Sm 0.500 0.500 0.000
11 Se 0.230 0.698 0.461
12 Dy 0.000 0.500 0.000
13 Sm 0.500 0.500 0.500
14 Se 0.230 0.698 0.968
15 Rb 0.500 0.000 0.000
16 Sm 0.000 0.500 0.500

Properties
Energy = -78.314 eV per cell
ΔE_f (raw) = -1738 meV/atom

---

Entry 12:
First-principles (PBE) data for La2SmInO after structural relaxation, as listed in Alexandria.

Cell: 4.957 5.073 5.073 Å, 90.00 90.00 90.00°
Sites, in units of the cell vectors:
1 Sm 0.500 0.000 0.000
2 La 0.000 0.000 0.500
3 In 0.500 0.500 0.500
4 O 0.000 0.000 0.000
5 La 0.000 0.500 0.000

Properties
Energy = -29.398 eV per cell
ΔE_f (raw) = -1425 meV/atom

---

Entry 13:
First-principles (PBE) data for MgZrCuPd2 after structural relaxation, as listed in Alexandria.

Cell: 4.513 5.267 4.513 Å, 90.00 90.00 90.00°
Each line ends with the local moment (μB).
Sites, in units of the cell vectors:
1 Pd 0.000 0.000 0.500  0.04
2 Zr 0.000 0.500 0.000  0.33
3 Cu 0.500 0.500 0.500  0.01
4 Pd 0.500 0.000 0.000  0.01
5 Mg 0.000 0.000 0.000  0.01

Properties
Energy = -20.072 eV per cell
Energy of formation from the pure elements = 0.91 eV per atom

---

Entry 14:
First-principles (PBE) data for CeAl4Pt4 after structural relaxation, as listed in Alexandria.

Cell: 6.241 6.241 8.385 Å, 90.00 90.00 90.00°
Each line ends with the local moment (μB).
Sites, in units of the cell vectors:
1 Al 0.500 0.236 0.106  0.00
2 Al 0.236 0.500 0.894  0.00
3 Al 0.000 0.264 0.394  0.00
4 Ce 0.500 0.500 0.500  0.73
5 Pt 0.280 0.000 0.303  -0.01
6 Pt 0.500 0.780 0.803  -0.01
7 Al 0.764 0.500 0.894  0.00
8 Ce 0.000 0.000 0.000  0.73
9 Pt 0.500 0.220 0.803  -0.01
10 Al 0.264 0.000 0.606  0.00
11 Pt 0.000 0.280 0.697  -0.01
12 Pt 0.000 0.720 0.697  -0.01
13 Pt 0.780 0.500 0.197  -0.01
14 Al 0.000 0.736 0.394  0.00
15 Pt 0.720 0.000 0.303  -0.01
16 Pt 0.220 0.500 0.197  -0.01
17 Al 0.500 0.764 0.106  0.00
18 Al 0.736 0.000 0.606  0.00

Properties
Energy = -107.062 eV per cell
Energy of formation from the pure elements = -0.94 eV per atom

---

Entry 15:
First-principles (PBE) data for Ba2TaP after structural relaxation, as listed in Alexandria.

Cell: 4.972 4.972 4.613 Å, 90.00 90.00 90.00°
Each line ends with the local moment (μB).
Sites, in units of the cell vectors:
1 Ba 0.000 0.000 0.000  0.01
2 P 0.500 0.000 0.500  -0.01
3 Ba 0.500 0.500 0.000  0.01
4 Ta 0.000 0.500 0.500  0.24

Properties
Energy = -18.510 eV per cell
Energy of formation from the pure elements = 0.65 eV per atom

---

Entry 16:
First-principles (PBE) data for CeSm3Tm after structural relaxation, as listed in Alexandria.

Cell: 8.985 8.985 9.413 Å, 90.00 90.00 119.81°
Sites, in units of the cell vectors:
1 Sm 0.045 0.267 0.078
2 Sm 0.045 0.267 0.422
3 Ce 0.972 0.392 0.750
4 Sm 0.955 0.733 0.922
5 Sm 0.670 0.330 0.500
6 Tm 0.526 0.526 0.750
7 Sm 0.267 0.045 0.078
8 Sm 0.267 0.045 0.422
9 Ce 0.608 0.028 0.250
10 Tm 0.146 0.146 0.750
11 Tm 0.854 0.854 0.250
12 Tm 0.474 0.474 0.250
13 Sm 0.955 0.733 0.578
14 Sm 0.733 0.955 0.922
15 Sm 0.330 0.670 0.500
16 Sm 0.330 0.670 0.000
17 Ce 0.392 0.972 0.750
18 Sm 0.670 0.330 0.000
19 Sm 0.733 0.955 0.578
20 Ce 0.028 0.608 0.250

Properties
Energy = -93.588 eV per cell
Energy of formation from the pure elements = 0.23 eV per atom

---

Entry 17:
First-principles (PBE) data for SnMo2N after structural relaxation, as listed in Alexandria.

Cell: 5.384 5.384 6.448 Å, 65.32 65.32 90.00°
Each line ends with the local moment (μB).
Sites, in units of the cell vectors:
1 Mo 0.375 0.516 0.750  0.49
2 Mo 0.484 0.125 0.250  0.43
3 Sn 0.000 0.000 0.000  -0.02
4 Sn 0.750 0.250 0.500  -0.02
5 Mo 0.266 0.625 0.250  0.45
6 Mo 0.875 0.734 0.750  0.34
7 N 0.250 0.750 0.500  -0.01
8 N 0.500 0.500 0.000  -0.01

Properties
Energy = -64.451 eV per cell
ΔE_f (raw) = 441 meV/atom
Energy relative to the lowest polymorph listed for this composition = 240 meV per atom

---

Entry 18:
First-principles (PBE) data for SiB2S4 after structural relaxation, as listed in Alexandria.

Cell: 5.028 5.028 5.531 Å, 117.04 117.04 90.00°
Sites, in units of the cell vectors:
1 B 0.750 0.250 0.500
2 S 0.896 0.381 0.277
3 B 0.250 0.750 0.500
4 Si 0.500 0.500 0.000
5 S 0.381 0.896 0.277
6 S 0.619 0.619 0.723
7 S 0.104 0.104 0.723

Properties
Energy = -34.500 eV per cell
ΔE_f (raw) = 112 meV/atom

---

Entry 19:
First-principles (PBE) data for RbSc2CrAs after structural relaxation, as listed in Alexandria.

Cell: 5.324 4.624 5.324 Å, 90.00 90.00 90.00°
Each line ends with the local moment (μB).
Sites, in units of the cell vectors:
1 Cr 0.000 0.500 0.000  -0.35
2 Rb 0.500 0.500 0.500  0.02
3 Sc 0.000 0.000 0.500  0.38
4 Sc 0.500 0.000 0.000  0.27
5 As 0.000 0.000 0.000  0.00

Properties
Energy = -25.229 eV per cell
Energy of formation from the pure elements = 0.53 eV per atom

---

Entry 20:
First-principles (PBE) data for CaIn2Rh2 after structural relaxation, as listed in Alexandria.

Cell: 4.479 4.479 11.500 Å, 101.23 101.23 90.00°
Sites, in units of the cell vectors:
1 Rh 0.250 0.750 0.500
2 In 0.815 0.815 0.629
3 Rh 0.750 0.250 0.500
4 In 0.500 0.000 0.000
5 In 0.185 0.185 0.371
6 Rh 0.067 0.067 0.134
7 Ca 0.360 0.360 0.721
8 Rh 0.933 0.933 0.866
9 In 0.000 0.500 0.000
10 Ca 0.640 0.640 0.279

Properties
Energy = -48.570 eV per cell
Energy of formation from the pure elements = -0.42 eV per atom